AlTlMoH6 | the Open Quantum Materials Database | GGA-PBE | optimized geometry; calculated volume = 80 Å³/f.u.; crystal system = cubic; DFT total energy = -0.2827 Ry per atom
1.0
0.0000 3.4204 3.4204
3.4204 0.0000 3.4204
3.4204 3.4204 0.0000
Mo Al H Tl
1 1 6 1
Direct
0.7500 0.7500 0.7500
0.5000 0.5000 0.5000
0.4886 0.0114 0.4886
0.0114 0.4886 0.0114
0.0114 0.0114 0.4886
0.0114 0.4886 0.4886
0.4886 0.4886 0.0114
0.4886 0.0114 0.0114
0.0000 0.0000 0.0000